VASP calculation (PBE) on a relaxed structure of Sn2SI.

a = 5.349 Å, b = 5.349 Å, c = 5.349 Å
α = 60.00°, β = 60.00°, γ = 60.00°
Element x y z (fractional)
Sn 0.250 0.250 0.250
Sn 0.750 0.750 0.750
S 0.000 0.000 0.000
I 0.500 0.500 0.500

Output
ΔE to the lowest computed polymorph = 229 meV/atom
SG = Fm-3m (225)
Density of states at the Fermi level = 1.392 states/eV/f.u.
Formation energy from raw total energies = 0.05 eV/f.u.

VASP calculation (PBE) on a relaxed structure of TlRe2Pb.

a = 5.741 Å, b = 5.741 Å, c = 5.730 Å
α = 106.49°, β = 106.49°, γ = 35.49°
Element x y z (fractional)
Tl 0.000 0.000 0.000
Re 0.260 0.260 0.141
Re 0.740 0.740 0.859
Pb 0.500 0.500 0.500

Output
ΔE to the lowest computed polymorph = 600 meV/atom
SG = C2/m (12)
Energy of formation = 1.045 eV/atom
Density of states at the Fermi level = 1.614 states/eV/f.u.

VASP calculation (PBE) on a relaxed structure of MgGeBi.

a = 5.018 Å, b = 5.018 Å, c = 10.278 Å
α = 107.57°, β = 107.57°, γ = 46.85°
Element x y z (fractional)
Mg 0.000 0.000 0.000
Mg 0.216 0.216 0.787
Ge 0.453 0.453 0.397
Ge 0.767 0.767 0.390
Bi 0.330 0.330 0.103
Bi 0.885 0.885 0.685

Output
ΔE to the lowest computed polymorph = 30 meV/atom
SG = Cm (8)
Energy of formation = 0.115 eV/atom
Density of states at the Fermi level = 0.676 states/eV/f.u.

VASP calculation (PBE) on a relaxed structure of Rb3GeRh.

a = 6.701 Å, b = 6.701 Å, c = 6.701 Å
α = 90.00°, β = 90.00°, γ = 90.00°
Element x y z (fractional)
Rb 0.000 0.000 0.500
Rb 0.000 0.500 0.000
Rb 0.500 0.000 0.000
Ge 0.000 0.000 0.000
Rh 0.500 0.500 0.500

Output
SG = Pm-3m (221)
Energy of formation = 0.950 eV/atom
Density of states at the Fermi level = 6.975 states/eV/f.u.

VASP calculation (PBE) on a relaxed structure of CaHfMo3.

a = 4.902 Å, b = 4.902 Å, c = 4.902 Å
α = 90.00°, β = 90.00°, γ = 90.00°
Element x y z (fractional)
Ca 0.000 0.000 0.000
Hf 0.500 0.500 0.500
Mo 0.000 0.500 0.500
Mo 0.500 0.000 0.500
Mo 0.500 0.500 0.000

Output
ΔE to the lowest computed polymorph = 0 meV/atom
SG = Pm-3m (221)
Energy of formation = 1.575 eV/atom
Density of states at the Fermi level = 5.932 states/eV/f.u.

VASP calculation (PBE) on a relaxed structure of TcAgTeN2.

a = 3.953 Å, b = 3.953 Å, c = 5.728 Å
α = 90.00°, β = 90.00°, γ = 90.00°
Element x y z (fractional)
Tc 0.000 0.000 0.000
Ag 0.500 0.500 0.500
Te 0.500 0.500 0.000
N 0.000 0.500 0.500
N 0.500 0.000 0.500

Output
ΔE to the lowest computed polymorph = 1782 meV/atom
SG = P4/mmm (123)
Density of states at the Fermi level = 8.552 states/eV/f.u.
Formation energy from raw total energies = 11.75 eV/f.u.

VASP calculation (PBE) on a relaxed structure of Er2NpTl.

a = 3.406 Å, b = 3.406 Å, c = 9.238 Å
α = 90.00°, β = 90.00°, γ = 90.00°
Element x y z (fractional)
Er 0.000 0.000 0.245
Er 0.000 0.000 0.755
Np 0.500 0.500 0.500
Tl 0.500 0.500 0.000

Output
SG = P4/mmm (123)
Energy of formation = 0.112 eV/atom
Density of states at the Fermi level = 9.456 states/eV/f.u.

VASP calculation (PBE) on a relaxed structure of Zn2CdAu4.

a = 8.033 Å, b = 8.033 Å, c = 8.033 Å
α = 130.81°, β = 130.81°, γ = 72.12°
Element x y z (fractional)
Zn 0.000 0.000 0.000
Zn 0.500 0.000 0.000
Zn 0.500 0.000 0.500
Zn 0.500 0.500 0.500
Cd 0.125 0.375 0.750
Cd 0.875 0.625 0.250
Au 0.103 0.064 0.801
Au 0.198 0.397 0.461
Au 0.238 0.698 0.301
Au 0.436 0.738 0.039
Au 0.564 0.262 0.961
Au 0.762 0.302 0.699
Au 0.802 0.603 0.539
Au 0.897 0.936 0.199

Output
ΔE to the lowest computed polymorph = 156 meV/atom
SG = I4_1/a (88)
Energy of formation = 0.037 eV/atom
Density of states at the Fermi level = 2.632 states/eV/f.u.

- Among the records above, which one has the highest density of states at the Fermi level?
  Er2NpTl

Copy entry 3 word for word.
VASP calculation (PBE) on a relaxed structure of MgGeBi.

a = 5.018 Å, b = 5.018 Å, c = 10.278 Å
α = 107.57°, β = 107.57°, γ = 46.85°
Element x y z (fractional)
Mg 0.000 0.000 0.000
Mg 0.216 0.216 0.787
Ge 0.453 0.453 0.397
Ge 0.767 0.767 0.390
Bi 0.330 0.330 0.103
Bi 0.885 0.885 0.685

Output
ΔE to the lowest computed polymorph = 30 meV/atom
SG = Cm (8)
Energy of formation = 0.115 eV/atom
Density of states at the Fermi level = 0.676 states/eV/f.u.

Repeat the third record exactly.
VASP calculation (PBE) on a relaxed structure of MgGeBi.

a = 5.018 Å, b = 5.018 Å, c = 10.278 Å
α = 107.57°, β = 107.57°, γ = 46.85°
Element x y z (fractional)
Mg 0.000 0.000 0.000
Mg 0.216 0.216 0.787
Ge 0.453 0.453 0.397
Ge 0.767 0.767 0.390
Bi 0.330 0.330 0.103
Bi 0.885 0.885 0.685

Output
ΔE to the lowest computed polymorph = 30 meV/atom
SG = Cm (8)
Energy of formation = 0.115 eV/atom
Density of states at the Fermi level = 0.676 states/eV/f.u.